Record 1
SrInOs2: optimized geometry, PBE. Values from VASP.

The structure in Quantum ESPRESSO input format:
```
&SYSTEM
  ibrav = 0, nat = 4, ntyp = 3
/
ATOMIC_SPECIES
Sr 87.62 Sr.upf
In 114.82 In.upf
Os 190.23 Os.upf
CELL_PARAMETERS angstrom
3.528 0.000 0.000
0.000 3.528 0.000
0.000 0.000 6.854
ATOMIC_POSITIONS angstrom
Sr 0.000 0.000 0.000
In 0.000 0.000 3.427
Os 1.764 1.764 2.146
Os 1.764 1.764 4.708
```

Calculated values
**Space group**: P4/mmm, No. 123
**V**: 21.32 A^3/atom
**Energy relative to the elements**: 0.8536 eV per atom
**Total energy**: -5.866 eV per atom

Record 2
BeZnTc2: optimized geometry, PBE. Values from VASP.

The structure in Quantum ESPRESSO input format:
```
&SYSTEM
  ibrav = 0, nat = 4, ntyp = 3
/
ATOMIC_SPECIES
Be 9.01 Be.upf
Zn 65.41 Zn.upf
Tc 98.00 Tc.upf
CELL_PARAMETERS angstrom
2.814 0.000 0.000
0.000 3.762 0.000
-1.402 0.000 4.892
ATOMIC_POSITIONS angstrom
Be 0.000 0.000 0.000
Zn 1.401 1.881 3.673
Tc -0.006 0.000 2.399
Tc 1.402 1.881 1.062
```

Calculated values
**Space group**: Pm, No. 6
**V**: 12.95 A^3/atom
**Energy relative to the elements**: 0.0513 eV per atom
**Relative energy among the computed polymorphs**: 0.089 eV/atom
**Total energy**: -6.382 eV per atom

Record 3
AcPuRhO6: optimized geometry, PBE. Values from VASP.

The structure in Quantum ESPRESSO input format:
```
&SYSTEM
  ibrav = 0, nat = 9, ntyp = 4
/
ATOMIC_SPECIES
Ac 227.00 Ac.upf
Pu 244.00 Pu.upf
Rh 102.91 Rh.upf
O 16.00 O.upf
CELL_PARAMETERS angstrom
5.336 0.000 0.000
-2.668 4.621 0.000
0.000 0.000 5.618
ATOMIC_POSITIONS angstrom
Ac 0.000 0.000 0.000
Pu 2.668 1.540 2.809
Rh 0.000 3.081 2.809
O -0.929 1.673 3.984
O -1.684 2.979 1.634
O 0.929 1.673 1.634
O -0.754 4.589 3.984
O 1.684 2.979 3.984
O 0.754 4.589 1.634
```

Calculated values
**Space group**: P312, No. 149
**V**: 15.39 A^3/atom
**Total energy**: -8.514 eV per atom

Record 4
Sc2TlCl: optimized geometry, PBE. Values from VASP.

The structure in Quantum ESPRESSO input format:
```
&SYSTEM
  ibrav = 0, nat = 4, ntyp = 3
/
ATOMIC_SPECIES
Sc 44.96 Sc.upf
Tl 204.38 Tl.upf
Cl 35.45 Cl.upf
CELL_PARAMETERS angstrom
3.705 -3.789 0.000
3.705 3.789 0.000
-0.574 0.000 3.214
ATOMIC_POSITIONS angstrom
Sc 1.852 1.894 0.000
Sc 1.852 -1.894 0.000
Tl -0.287 0.000 1.607
Cl 3.417 0.000 1.607
```

Calculated values
**Space group**: C2/m, No. 12
**V**: 22.56 A^3/atom
**Relative energy among the computed polymorphs**: 0.192 eV/atom
**Total energy**: -4.717 eV per atom

Repeat the fourth record exactly.
Sc2TlCl: optimized geometry, PBE. Values from VASP.

The structure in Quantum ESPRESSO input format:
```
&SYSTEM
  ibrav = 0, nat = 4, ntyp = 3
/
ATOMIC_SPECIES
Sc 44.96 Sc.upf
Tl 204.38 Tl.upf
Cl 35.45 Cl.upf
CELL_PARAMETERS angstrom
3.705 -3.789 0.000
3.705 3.789 0.000
-0.574 0.000 3.214
ATOMIC_POSITIONS angstrom
Sc 1.852 1.894 0.000
Sc 1.852 -1.894 0.000
Tl -0.287 0.000 1.607
Cl 3.417 0.000 1.607
```

Calculated values
**Space group**: C2/m, No. 12
**V**: 22.56 A^3/atom
**Relative energy among the computed polymorphs**: 0.192 eV/atom
**Total energy**: -4.717 eV per atom